An optimized crystal structure of ZrTa2Os2. Source: the Alexandria database, functional PBE-GGA.

excess energy over the best structure of this formula in the dataset	18	meV/atom
total energy	-55.3	eV per formula unit
energy of formation from the pure elements	-0.1131	eV per atom
volume	17.83	Å³ per atom

POSCAR file:
```
ZrTa2Os2
1.0
7.7710 0.0000 0.0000
0.0000 7.7710 0.0000
0.0000 0.0000 2.9520
Os Zr Ta
4 2 4
Cartesian
5.0533 6.6032 1.4760
1.1678 5.0533 1.4760
6.6032 2.7177 1.4760
2.7177 1.1678 1.4760
3.8855 3.8855 0.0000
0.0000 0.0000 0.0000
5.0227 1.1372 0.0000
1.1372 2.7482 0.0000
2.7482 6.6337 0.0000
6.6337 5.0227 0.0000
```


An optimized crystal structure of ZrTaOs2. Source: the Alexandria database, functional PBE-GGA.

total energy	-43.0	eV per formula unit
energy of formation from the pure elements	-0.0469	eV per atom
volume	16.91	Å³ per atom

POSCAR file:
```
ZrTaOs2
1.0
-4.6605 2.6494 -1.0448
1.4771 -3.8495 -3.1975
-1.8529 -2.0882 0.7242
Zr Ta Os
1 1 2
Cartesian
-1.5917 -0.6001 -2.1211
-0.1879 -2.9689 -1.2367
0.0000 0.0000 0.0000
-3.2567 0.2806 -0.1603
```


An optimized crystal structure of ZrTa2Os. Source: the Alexandria database, functional PBE-GGA.

total energy	-43.9	eV per formula unit
energy of formation from the pure elements	-0.1166	eV per atom
volume	17.89	Å³ per atom

POSCAR file:
```
ZrTa2Os
1.0
4.5537 0.0000 0.0000
0.0000 2.9712 -0.0003
0.0000 1.1131 5.2888
Ta Os Zr
2 1 1
Cartesian
0.0000 2.1049 2.6925
0.0000 4.0215 5.2403
2.2768 3.0632 3.9664
2.2768 1.0211 1.3221
```


An optimized crystal structure of Zr3TaOs4. Source: the Alexandria database, functional PBE-GGA.

total energy	-86.0	eV per formula unit
energy of formation from the pure elements	-0.4461	eV per atom
volume	17.31	Å³ per atom

POSCAR file:
```
Zr3TaOs4
1.0
3.2450 0.0000 0.0000
0.0000 4.6219 0.0000
0.0000 0.0000 9.2331
Os Zr Ta
4 3 1
Cartesian
0.0000 2.3110 7.0100
0.0000 2.3110 2.2231
0.0000 0.0000 0.0000
0.0000 0.0000 4.6166
1.6225 0.0000 2.2934
1.6225 0.0000 6.9397
1.6225 2.3110 4.6166
1.6225 2.3110 0.0000
```


An optimized crystal structure of ZrTaOs2. Source: the Alexandria database, functional PBE-GGA.

total energy	-42.0	eV per formula unit
energy of formation from the pure elements	0.2174	eV per atom
volume	17.20	Å³ per atom

POSCAR file:
```
ZrTaOs2
1.0
9.9712 0.0088 0.0051
9.5637 2.8214 0.0051
9.5637 1.3856 2.4577
Os Zr Ta
2 1 1
Cartesian
28.8707 4.1827 2.4487
7.4103 1.0736 0.6285
21.7017 3.1441 1.8406
14.7640 2.1390 1.2522
```


An optimized crystal structure of ZrTa2Os2. Source: the Alexandria database, functional PBE-GGA.

excess energy over the best structure of this formula in the dataset	7	meV/atom
total energy	-55.3	eV per formula unit
energy of formation from the pure elements	-0.1241	eV per atom
volume	17.96	Å³ per atom

POSCAR file:
```
ZrTa2Os2
1.0
-1.6530 -7.0030 2.5681
4.3888 -3.0400 -5.4650
2.4294 0.1179 1.8854
Zr Ta Os
2 4 4
Cartesian
1.3679 -5.0215 -1.4485
0.0000 0.0000 0.0000
1.3367 -2.8204 0.9656
3.8386 -3.0377 -2.2446
3.8285 -7.1047 -1.9772
1.3266 -6.8875 1.2330
1.3790 -7.9736 -1.2781
1.3568 -2.0694 -1.6189
3.1830 -5.1492 -3.7794
-0.4472 -4.8938 0.8824
```


An optimized crystal structure of ZrTa2Os. Source: the Alexandria database, functional PBE-GGA.

total energy	-43.6	eV per formula unit
energy of formation from the pure elements	-0.0218	eV per atom
volume	18.07	Å³ per atom

POSCAR file:
```
ZrTa2Os
1.0
2.9121 -0.0032 0.0000
-0.9968 2.7362 0.0000
0.0000 0.0000 9.0745
Zr Os Ta
1 1 2
Cartesian
0.0000 0.0000 4.6759
0.9577 1.3665 6.8852
0.9577 1.3665 2.1731
0.0000 0.0000 8.9520
```


An optimized crystal structure of ZrTa2Os. Source: the Alexandria database, functional PBE-GGA.

total energy	-43.9	eV per formula unit
energy of formation from the pure elements	-0.1018	eV per atom
volume	17.87	Å³ per atom

POSCAR file:
```
ZrTa2Os
1.0
-0.9400 3.7228 -2.4361
-2.2117 0.6565 1.8567
2.5227 3.0580 3.6998
Zr Ta Os
1 2 1
Cartesian
0.1417 1.8854 2.8266
0.3264 3.6852 5.5057
-0.3969 2.7724 0.1459
-0.2338 4.6661 2.9769
```


An optimized crystal structure of Tb3Os. Source: the Alexandria database, functional PBE-GGA.

total energy	-24.3	eV per formula unit
energy of formation from the pure elements	0.2107	eV per atom
volume	28.89	Å³ per atom

POSCAR file:
```
Tb3Os
1.0
3.6604 0.0000 0.0000
0.0000 3.3615 0.0000
0.0000 0.0000 9.3911
Os Tb
1 3
Cartesian
0.0000 0.0000 9.1486
1.8302 0.0000 7.1535
0.0000 1.6807 4.4278
1.8302 1.6807 1.1828
```


An optimized crystal structure of Tb3Os. Source: the Alexandria database, functional PBE-GGA.

total energy	-25.7	eV per formula unit
energy of formation from the pure elements	-0.1485	eV per atom
volume	26.35	Å³ per atom

POSCAR file:
```
Tb3Os
1.0
6.2118 0.0000 0.0000
0.0000 11.6514 0.0000
0.0000 0.0000 11.6514
Tb Os
24 8
Cartesian
0.3318 6.8156 10.1209
4.7977 5.2050 7.3621
5.8800 1.5305 6.8156
1.4140 4.2892 5.2050
1.4140 7.3621 6.4464
5.9254 1.8553 3.2763
3.4377 7.3561 0.9900
4.7977 6.4464 4.2892
5.8800 10.1209 4.8357
4.5199 0.6207 10.1149
3.3923 7.6810 9.1020
1.6918 1.5365 0.6207
2.8195 9.1020 3.9704
0.2864 8.3751 1.8553
2.8195 2.5494 7.6810
4.5199 11.0307 1.5365
0.3318 4.8357 1.5305
2.7741 10.6614 7.3561
3.4377 4.2952 10.6614
3.3923 3.9704 2.5494
2.7741 0.9900 4.2952
0.2864 3.2763 9.7961
1.6918 10.1149 11.0307
5.9254 9.7961 8.3751
4.5042 3.4509 5.1370
4.8135 9.2766 10.9627
1.3983 10.9627 2.3748
1.7076 5.1370 8.2005
1.3983 0.6887 9.2766
4.5042 8.2005 6.5144
1.7076 6.5144 3.4509
4.8135 2.3748 0.6887
```


An optimized crystal structure of TbOs6. Source: the Alexandria database, functional PBE-GGA.

total energy	-66.5	eV per formula unit
energy of formation from the pure elements	0.7907	eV per atom
volume	22.43	Å³ per atom

POSCAR file:
```
TbOs6
1.0
5.8861 0.0000 0.0000
-1.9620 5.5494 0.0000
-1.9620 -2.7747 4.8060
Os Tb
6 1
Cartesian
2.9430 0.0000 2.4030
-0.9810 0.6937 3.6045
0.9810 -0.6937 3.6045
2.9430 2.0810 1.2015
0.9810 3.4684 1.2015
-0.9810 2.7747 2.4030
0.0000 0.0000 0.0000
```


An optimized crystal structure of Tb3Os. Source: the Alexandria database, functional PBE-GGA.

total energy	-26.1	eV per formula unit
energy of formation from the pure elements	-0.2375	eV per atom
volume	26.94	Å³ per atom

POSCAR file:
```
Tb3Os
1.0
-4.4225 4.4874 0.8982
-4.3764 -4.9769 3.3159
3.7496 2.0799 8.0705
Tb Os
12 4
Cartesian
-2.7843 -0.9609 6.0584
0.1285 0.7923 4.2533
-2.0309 3.1523 2.7183
-0.8664 3.3272 9.2365
-4.1829 -1.7367 3.0482
-1.2701 0.0165 1.2430
0.2197 -0.1387 7.6952
-3.7792 1.5740 11.0417
-5.1777 0.7982 8.0314
-5.2690 1.7292 4.5895
-3.0184 -1.5618 9.5664
-2.2650 2.5514 6.2263
-2.2739 0.9190 8.5811
-3.1098 -3.6978 4.9850
-1.9394 5.2883 7.2997
-2.7753 0.6715 3.7036
```


An optimized crystal structure of TbOs2. Source: the Alexandria database, functional PBE-GGA.

total energy	-27.9	eV per formula unit
energy of formation from the pure elements	-0.2849	eV per atom
volume	18.19	Å³ per atom

POSCAR file:
```
TbOs2
1.0
-1.9996 -1.2567 -4.7618
-0.0502 -3.5764 3.9315
-8.0109 2.9535 2.5844
Os Tb
8 4
Cartesian
-6.3920 -0.9643 4.3819
-7.3648 -1.5757 2.0652
0.0000 0.0000 0.0000
-4.0054 1.4767 1.2922
-3.6930 -2.6553 -0.7150
-3.6686 -0.9154 -2.6277
-2.6958 -0.3040 -0.3110
-6.3676 0.7756 2.4692
-8.8434 0.7329 0.5536
-4.1882 -1.5172 2.1591
-1.2172 -2.6126 1.2006
-5.8724 -0.3625 -0.4050
```


An optimized crystal structure of Tb4Os. Source: the Alexandria database, functional PBE-GGA.

total energy	-29.5	eV per formula unit
energy of formation from the pure elements	0.0480	eV per atom
volume	32.33	Å³ per atom

POSCAR file:
```
Tb4Os
1.0
5.4474 0.0000 0.0000
0.0000 5.4474 0.0000
0.0000 0.0000 5.4474
Tb Os
4 1
Cartesian
2.7237 0.0000 2.7237
0.0000 0.0000 0.0000
2.7237 2.7237 0.0000
0.0000 2.7237 2.7237
2.7237 2.7237 2.7237
```


An optimized crystal structure of Tb3Os. Source: the Alexandria database, functional PBE-GGA.

total energy	-25.6	eV per formula unit
energy of formation from the pure elements	-0.1096	eV per atom
volume	26.04	Å³ per atom

POSCAR file:
```
Tb3Os
1.0
-1.4520 0.8295 -3.1633
3.6205 -2.9071 -2.4241
-4.4070 -3.4005 3.1549
Tb Os
3 1
Cartesian
-0.5031 -3.8986 -0.7913
-2.3391 -1.0948 -1.2370
0.7825 -0.7965 -2.5917
3.3190 -2.6651 -2.2223
```


An optimized crystal structure of Tb3Os. Source: the Alexandria database, functional PBE-GGA.

total energy	-25.8	eV per formula unit
energy of formation from the pure elements	-0.1820	eV per atom
volume	26.19	Å³ per atom

POSCAR file:
```
Tb3Os
1.0
6.1226 0.0000 0.0000
3.0613 8.2735 0.0000
3.0613 0.0000 8.2735
Tb Os
12 4
Cartesian
7.5735 8.2715 6.6780
4.3088 4.9055 0.0023
4.3088 3.3679 8.2712
7.7329 6.6780 0.0020
10.9977 8.2712 4.9055
1.4509 0.0020 1.5954
6.1226 2.9612 5.3092
4.8751 0.0023 3.3679
3.0612 2.9642 2.9612
9.1838 5.3092 5.3123
7.7329 1.5954 8.2715
6.1227 5.3123 2.9642
6.1212 2.3926 2.3876
9.1852 5.8858 2.3926
6.1212 5.8808 5.8858
3.0627 2.3876 5.8808
```


An optimized crystal structure of TbTcOs. Source: the Alexandria database, functional PBE-GGA.

excess energy over the best structure of this formula in the dataset	0	meV/atom
total energy	-26.9	eV per formula unit
energy of formation from the pure elements	-0.2316	eV per atom
volume	18.41	Å³ per atom

POSCAR file:
```
TbTcOs
1.0
-1.0974 3.2252 -4.2045
3.8655 -3.7757 -0.2939
-5.9272 -5.8400 -2.9328
Os Tc Tb
4 4 4
Cartesian
-0.2380 2.0130 -3.5274
0.0377 -5.4765 -2.4413
0.2760 0.4672 -1.4883
1.6304 0.1979 -3.6893
-0.4815 -3.9235 -4.4847
-5.5444 -1.1816 -6.4019
-1.8361 -3.6541 -2.2834
-2.5565 1.7623 -4.9235
-1.3001 -0.9537 -3.8180
-3.5003 -3.1214 -4.9066
1.1268 -2.4988 -2.1355
-2.6413 -6.2115 -4.0000
```


An optimized crystal structure of Tb2Tc3Os. Source: the Alexandria database, functional PBE-GGA.

total energy	-52.6	eV per formula unit
energy of formation from the pure elements	-0.1678	eV per atom
volume	18.57	Å³ per atom

POSCAR file:
```
Tb2Tc3Os
1.0
-1.8572 4.8394 1.0285
-3.3192 -4.1095 -0.1461
3.0172 -2.5242 3.8613
Tc Os Tb
3 1 2
Cartesian
-1.0796 -0.8971 2.3719
0.5800 1.1576 2.4449
1.5086 -1.2621 1.9307
0.0000 0.0000 0.0000
-2.2618 1.7746 1.1902
0.1025 -3.5689 3.5536
```


An optimized crystal structure of Tb2TcOs3. Source: the Alexandria database, functional PBE-GGA.

total energy	-54.9	eV per formula unit
energy of formation from the pure elements	-0.2576	eV per atom
volume	18.31	Å³ per atom

POSCAR file:
```
Tb2TcOs3
1.0
5.3958 0.0000 0.0000
-2.6979 4.6729 0.0000
0.0000 0.0000 8.7150
Tb Os Tc
4 6 2
Cartesian
2.6979 1.5576 0.5784
0.0000 3.1153 8.1365
2.6979 1.5576 3.7790
0.0000 3.1153 4.9359
1.3959 0.8059 6.5362
1.3021 3.8670 2.1787
-1.3021 3.8670 2.1787
0.0000 1.6118 2.1787
2.6979 3.0611 6.5362
4.0000 0.8059 6.5362
0.0000 0.0000 4.3575
0.0000 0.0000 0.0000
```


An optimized crystal structure of TbTcOs. Source: the Alexandria database, functional PBE-GGA.

excess energy over the best structure of this formula in the dataset	82	meV/atom
total energy	-26.7	eV per formula unit
energy of formation from the pure elements	-0.1499	eV per atom
volume	19.54	Å³ per atom

POSCAR file:
```
TbTcOs
1.0
-1.6424 -3.6446 1.7930
3.4986 -4.3105 -0.2043
1.4084 -0.5714 5.4816
Os Tc Tb
2 2 2
Cartesian
2.5798 -4.2227 4.4854
0.6848 -4.3038 2.5849
2.8454 -6.1728 6.1177
0.4192 -2.3537 0.9526
1.5027 -1.4265 3.8296
1.7620 -7.0999 3.2407
```


An optimized crystal structure of TbZrTcOs. Source: the Alexandria database, functional PBE-GGA.

total energy	-35.4	eV per formula unit
energy of formation from the pure elements	-0.1445	eV per atom
volume	18.85	Å³ per atom

POSCAR file:
```
TbZrTcOs
1.0
-3.8890 -2.6880 -0.3676
-0.2923 -4.0862 2.3880
-2.9687 -0.3902 3.6769
Tb Tc Zr Os
1 1 1 1
Cartesian
-1.7875 -1.7911 1.4243
0.0000 0.0000 0.0000
-5.3625 -5.3733 4.2729
-3.5750 -3.5822 2.8486
```


An optimized crystal structure of Tb5Te2Os. Source: the Alexandria database, functional PBE-GGA.

formation energy without anion corrections	-0.4826	eV/atom
total energy	-44.5	eV per formula unit
volume	32.36	Å³ per atom

POSCAR file:
```
Tb5Te2Os
1.0
5.8810 0.0000 0.0000
-2.9405 6.0119 0.0000
0.0000 0.0000 14.6438
Tb Os Te
10 2 4
Cartesian
0.0000 4.4192 5.6516
2.9405 1.5927 8.9922
2.9405 5.2744 12.8372
2.9405 2.4041 3.6609
0.0000 0.7375 5.5153
2.9405 5.2744 9.1285
0.0000 0.7375 1.8066
2.9405 1.5927 12.9735
0.0000 4.4192 1.6703
0.0000 3.6078 10.9828
0.0000 2.6307 3.6609
2.9405 3.3812 10.9828
0.0000 2.2659 13.7966
0.0000 2.2659 8.1690
2.9405 3.7460 6.4747
2.9405 3.7460 0.8472
```


An optimized crystal structure of Tb4TeOs. Source: the Alexandria database, functional PBE-GGA.

formation energy without anion corrections	-0.3123	eV/atom
excess energy over the best structure of this formula in the dataset	299	meV/atom
total energy	-34.8	eV per formula unit
volume	36.85	Å³ per atom

POSCAR file:
```
Tb4TeOs
1.0
-1.4118 0.0278 -5.2317
6.4783 -8.5304 1.0129
-9.2781 0.0401 2.5039
Tb Te Os
8 2 2
Cartesian
1.5124 -6.7598 -0.4441
-5.7240 -1.7026 -1.2708
-2.5480 -0.3770 0.6856
-6.9113 -3.2733 1.8476
-1.6636 -8.0855 -2.4005
-0.7466 -4.4422 -2.6286
2.6997 -5.1891 -3.5625
-3.4650 -4.0203 0.9136
-0.6181 -2.8575 0.1516
-3.5935 -5.6049 -1.8665
-4.8292 -1.6040 1.2946
0.6176 -6.8584 -3.0095
```